(1)
# Ce7Ga2Ir2 (PBE-GGA, relaxed)
# E_tot (eV per atom): -6.3345
# Fermi-level density of states (states/eV/atom): 2.366
# DFT formation energy (eV/atom): -0.40
data_Ce7Ga2Ir2
_chemical_formula_sum 'Ce14 Ga4 Ir4'
_cell_length_a 8.023
_cell_length_b 10.762
_cell_length_c 6.670
_cell_angle_alpha 90.00
_cell_angle_beta 90.00
_cell_angle_gamma 90.00
_symmetry_space_group_name_H-M 'C m m m'
_symmetry_Int_Tables_number 65
_symmetry_space_group_name_Hall '-C 2 2'
loop_
_atom_site_label
_atom_site_fract_x
_atom_site_fract_y
_atom_site_fract_z
Ce1 0.000 0.000 0.000
Ce2 0.000 0.500 0.291
Ce3 0.250 0.250 0.284
Ga1 0.156 0.000 0.500
Ir1 0.000 0.289 0.000

---

(2)
# Ce4Ga3Ir (PBE-GGA, relaxed)
# E_tot (eV per atom): -5.7481
# Fermi-level density of states (states/eV/atom): 2.339
# DFT formation energy (eV/atom): -0.54
data_Ce4Ga3Ir
_chemical_formula_sum 'Ce4 Ga3 Ir1'
_cell_length_a 4.179
_cell_length_b 4.287
_cell_length_c 10.827
_cell_angle_alpha 90.00
_cell_angle_beta 90.00
_cell_angle_gamma 90.00
_symmetry_space_group_name_H-M 'P m m 2'
_symmetry_Int_Tables_number 25
_symmetry_space_group_name_Hall 'P 2 -2'
loop_
_atom_site_label
_atom_site_fract_x
_atom_site_fract_y
_atom_site_fract_z
Ce1 0.000 0.000 0.000
Ce2 0.000 0.500 0.482
Ce3 0.500 0.000 0.700
Ce4 0.500 0.500 0.208
Ga1 0.000 0.500 0.774
Ga2 0.500 0.000 0.413
Ga3 0.500 0.500 0.920
Ir1 0.000 0.000 0.258

---

(3)
# Ce8Ga2Ir (PBE-GGA, relaxed)
# E_tot (eV per atom): -5.9976
# Fermi-level density of states (states/eV/atom): 2.540
# DFT formation energy (eV/atom): -0.33
data_Ce8Ga2Ir
_chemical_formula_sum 'Ce16 Ga4 Ir2'
_cell_length_a 16.950
_cell_length_b 5.032
_cell_length_c 6.677
_cell_angle_alpha 90.00
_cell_angle_beta 110.14
_cell_angle_gamma 90.00
_symmetry_space_group_name_H-M 'C 1 2/m 1'
_symmetry_Int_Tables_number 12
_symmetry_space_group_name_Hall '-C 2y'
loop_
_atom_site_label
_atom_site_fract_x
_atom_site_fract_y
_atom_site_fract_z
Ce1 0.005 0.000 0.301
Ce2 0.109 0.500 0.414
Ce3 0.150 0.500 0.890
Ce4 0.196 0.000 0.174
Ga1 0.192 0.000 0.669
Ir1 0.000 0.500 0.000

---

(4)
# Ce6GaIr (PBE-GGA, relaxed)
# E_tot (eV per atom): -6.1299
# Fermi-level density of states (states/eV/atom): 2.897
# DFT formation energy (eV/atom): -0.19
data_Ce6GaIr
_chemical_formula_sum 'Ce12 Ga2 Ir2'
_cell_length_a 7.661
_cell_length_b 9.368
_cell_length_c 6.312
_cell_angle_alpha 90.00
_cell_angle_beta 105.71
_cell_angle_gamma 90.00
_symmetry_space_group_name_H-M 'C 1 2/m 1'
_symmetry_Int_Tables_number 12
_symmetry_space_group_name_Hall '-C 2y'
loop_
_atom_site_label
_atom_site_fract_x
_atom_site_fract_y
_atom_site_fract_z
Ce1 0.132 0.211 0.307
Ce2 0.180 0.500 0.113
Ga1 0.000 0.500 0.500
Ir1 0.000 0.000 0.000

---

(5)
# Ce3Ga2Ir7 (PBE-GGA, relaxed)
# E_tot (eV per atom): -7.8808
# Fermi-level density of states (states/eV/atom): 1.274
# DFT formation energy (eV/atom): -0.72
data_Ce3Ga2Ir7
_chemical_formula_sum 'Ce9 Ga6 Ir21'
_cell_length_a 5.4975
_cell_length_b 5.4975
_cell_length_c 24.8235
_cell_angle_alpha 90.00
_cell_angle_beta 90.00
_cell_angle_gamma 120.00
_symmetry_space_group_name_H-M 'R -3 m'
_symmetry_Int_Tables_number 166
_symmetry_space_group_name_Hall '-R 3 2"'
loop_
_atom_site_label
_atom_site_fract_x
_atom_site_fract_y
_atom_site_fract_z
Ce1 0.0000 0.0000 0.0000
Ce2 0.0000 0.0000 0.1412
Ga1 0.0000 0.0000 0.3349
Ir1 0.0000 0.0000 0.5000
Ir2 0.0038 0.5019 0.9181

---

(6)
# Ce5Ga2Ir2 (PBE-GGA, relaxed)
# E_tot (eV per atom): -6.3854
# Fermi-level density of states (states/eV/atom): 2.429
# DFT formation energy (eV/atom): -0.45
data_Ce5Ga2Ir2
_chemical_formula_sum 'Ce20 Ga8 Ir8'
_cell_length_a 16.180
_cell_length_b 7.503
_cell_length_c 7.463
_cell_angle_alpha 90.00
_cell_angle_beta 90.00
_cell_angle_gamma 90.00
_symmetry_space_group_name_H-M 'I m a 2'
_symmetry_Int_Tables_number 46
_symmetry_space_group_name_Hall 'I 2 -2a'
loop_
_atom_site_label
_atom_site_fract_x
_atom_site_fract_y
_atom_site_fract_z
Ce1 0.055 0.170 0.000
Ce2 0.161 0.653 0.816
Ce3 0.250 0.152 0.706
Ga1 0.075 0.545 0.158
Ir1 0.000 0.000 0.330
Ir2 0.250 0.004 0.020

---

Look up the DFT formation energy of the fourth one. -0.19 eV/atom

---

Repeat the second record exactly.
# Ce4Ga3Ir (PBE-GGA, relaxed)
# E_tot (eV per atom): -5.7481
# Fermi-level density of states (states/eV/atom): 2.339
# DFT formation energy (eV/atom): -0.54
data_Ce4Ga3Ir
_chemical_formula_sum 'Ce4 Ga3 Ir1'
_cell_length_a 4.179
_cell_length_b 4.287
_cell_length_c 10.827
_cell_angle_alpha 90.00
_cell_angle_beta 90.00
_cell_angle_gamma 90.00
_symmetry_space_group_name_H-M 'P m m 2'
_symmetry_Int_Tables_number 25
_symmetry_space_group_name_Hall 'P 2 -2'
loop_
_atom_site_label
_atom_site_fract_x
_atom_site_fract_y
_atom_site_fract_z
Ce1 0.000 0.000 0.000
Ce2 0.000 0.500 0.482
Ce3 0.500 0.000 0.700
Ce4 0.500 0.500 0.208
Ga1 0.000 0.500 0.774
Ga2 0.500 0.000 0.413
Ga3 0.500 0.500 0.920
Ir1 0.000 0.000 0.258